No. 1
A plane-wave DFT calculation with GGA-PBE was carried out for a relaxed structure of TbDyMgHg.

Unit cell a=7.503 b=7.503 c=7.503 alpha=90.00 beta=90.00 gamma=90.00
Space group F-43m (No. 216)
Symmetry-distinct sites (fractional):
Tb 0.000 0.000 0.000
Dy 0.000 0.000 0.500
Mg 0.250 0.250 0.750
Hg 0.250 0.250 0.250

Computed properties:
E_tot: -3.045 eV/atom
Relative energy among the computed polymorphs: 0.07 eV/f.u.
Calculated density: 8.59 g/cm³
Magnetic moment: 0.00 μB/f.u.
Formation energy: -0.2630 eV/atom
Crystal system: cubic

---

No. 2
A plane-wave DFT calculation with GGA-PBE was carried out for a relaxed structure of Tb2DyMgHg4.

Unit cell a=5.1662 b=5.1662 c=25.7094 alpha=90.00 beta=90.00 gamma=120.00
Space group R-3m (No. 166, hexagonal axes)
Symmetry-distinct sites (fractional):
Tb 0.0000 0.0000 0.2452
Dy 0.0000 0.0000 0.0000
Mg 0.0000 0.0000 0.5000
Hg 0.0000 0.0000 0.1245
Hg 0.0000 0.0000 0.3732

Computed properties:
E_tot: -2.553 eV/atom
Calculated density: 10.96 g/cm³
Magnetic moment: 0.00 μB/f.u.
Formation energy: -0.4703 eV/atom
Crystal system: trigonal

---

No. 3
A plane-wave DFT calculation with GGA-PBE was carried out for a relaxed structure of TbDy2MgHg4.

Unit cell a=5.1576 b=5.1576 c=25.7121 alpha=90.00 beta=90.00 gamma=120.00
Space group R-3m (No. 166, hexagonal axes)
Symmetry-distinct sites (fractional):
Tb 0.0000 0.0000 0.0000
Dy 0.0000 0.0000 0.2451
Mg 0.0000 0.0000 0.5000
Hg 0.0000 0.0000 0.1248
Hg 0.0000 0.0000 0.3738

Computed properties:
E_tot: -2.544 eV/atom
Calculated density: 11.02 g/cm³
Magnetic moment: 0.00 μB/f.u.
Formation energy: -0.4647 eV/atom
Crystal system: trigonal

---

No. 4
A plane-wave DFT calculation with GGA-PBE was carried out for a relaxed structure of TbDyMgHg.

Unit cell a=3.785 b=3.785 c=7.385 alpha=90.00 beta=90.00 gamma=90.00
Space group P4mm (No. 99)
Symmetry-distinct sites (fractional):
Tb 0.000 0.000 0.000
Dy 0.000 0.000 0.493
Mg 0.500 0.500 0.745
Hg 0.500 0.500 0.249

Computed properties:
E_tot: -3.063 eV/atom
Relative energy among the computed polymorphs: 0.00 eV/f.u.
Calculated density: 8.57 g/cm³
Magnetic moment: 0.00 μB/f.u.
Formation energy: -0.2810 eV/atom
Crystal system: tetragonal

---

No. 5
A plane-wave DFT calculation with GGA-PBE was carried out for a relaxed structure of DyThMgHg.

Unit cell a=7.591 b=7.591 c=7.591 alpha=90.00 beta=90.00 gamma=90.00
Space group F-43m (No. 216)
Symmetry-distinct sites (fractional):
Dy 0.000 0.000 0.000
Th 0.000 0.000 0.500
Mg 0.250 0.250 0.750
Hg 0.250 0.250 0.250

Computed properties:
E_tot: -3.602 eV/atom
Calculated density: 9.41 g/cm³
Magnetic moment: 0.00 μB/f.u.
Formation energy: -0.1219 eV/atom
Crystal system: cubic

---

No. 6
A plane-wave DFT calculation with GGA-PBE was carried out for a relaxed structure of DyThMg2Hg4.

Unit cell a=5.1128 b=5.1128 c=25.5240 alpha=90.00 beta=90.00 gamma=120.00
Space group R-3m (No. 166, hexagonal axes)
Symmetry-distinct sites (fractional):
Dy 0.0000 0.0000 0.0000
Th 0.0000 0.0000 0.5000
Mg 0.0000 0.0000 0.2512
Hg 0.0000 0.0000 0.1201
Hg 0.0000 0.0000 0.3729

Computed properties:
E_tot: -2.428 eV/atom
Calculated density: 10.74 g/cm³
Magnetic moment: 0.00 μB/f.u.
Formation energy: -0.3757 eV/atom
Crystal system: trigonal

---

No. 7
A plane-wave DFT calculation with GGA-PBE was carried out for a relaxed structure of DyMgTlHg.

Unit cell a=7.306 b=7.306 c=7.306 alpha=90.00 beta=90.00 gamma=90.00
Space group F-43m (No. 216)
Symmetry-distinct sites (fractional):
Dy 0.000 0.000 0.000
Mg 0.000 0.000 0.500
Tl 0.250 0.250 0.750
Hg 0.250 0.250 0.250

Computed properties:
E_tot: -2.569 eV/atom
Calculated density: 10.08 g/cm³
Magnetic moment: 0.00 μB/f.u.
Formation energy: -0.3525 eV/atom
Crystal system: cubic

---

No. 8
A plane-wave DFT calculation with GGA-PBE was carried out for a relaxed structure of DyY2MgHg4.

Unit cell a=5.1612 b=5.1612 c=25.6794 alpha=90.00 beta=90.00 gamma=120.00
Space group R-3m (No. 166, hexagonal axes)
Symmetry-distinct sites (fractional):
Dy 0.0000 0.0000 0.0000
Y 0.0000 0.0000 0.2451
Mg 0.0000 0.0000 0.5000
Hg 0.0000 0.0000 0.1245
Hg 0.0000 0.0000 0.3731

Computed properties:
E_tot: -3.018 eV/atom
Calculated density: 9.81 g/cm³
Magnetic moment: 0.00 μB/f.u.
Formation energy: -0.4766 eV/atom
Crystal system: trigonal

---

No. 9
A plane-wave DFT calculation with GGA-PBE was carried out for a relaxed structure of DyMg2Zn2Hg2.

Unit cell a=4.6624 b=4.6624 c=24.1767 alpha=90.00 beta=90.00 gamma=120.00
Space group R-3m (No. 166, hexagonal axes)
Symmetry-distinct sites (fractional):
Dy 0.0000 0.0000 0.0000
Mg 0.0000 0.0000 0.1333
Zn 0.0000 0.0000 0.2558
Hg 0.0000 0.0000 0.4027

Computed properties:
E_tot: -1.782 eV/atom
Calculated density: 8.13 g/cm³
Magnetic moment: 0.00 μB/f.u.
Formation energy: -0.2190 eV/atom
Crystal system: trigonal

---

No. 10
A plane-wave DFT calculation with GGA-PBE was carried out for a relaxed structure of Dy2MnHg.

Unit cell a=7.271 b=7.271 c=7.271 alpha=90.00 beta=90.00 gamma=90.00
Space group Fm-3m (No. 225)
Symmetry-distinct sites (fractional):
Dy 0.250 0.250 0.250
Mn 0.000 0.000 0.000
Hg 0.000 0.000 0.500

Computed properties:
E_tot: -4.752 eV/atom
Relative energy among the computed polymorphs: 0.28 eV/f.u.
Calculated density: 10.03 g/cm³
Magnetic moment: 2.96 μB/f.u.
Formation energy: -0.0829 eV/atom
Crystal system: cubic

---

No. 11
A plane-wave DFT calculation with GGA-PBE was carried out for a relaxed structure of Dy4MnHg.

Unit cell a=8.572 b=12.601 c=6.094 alpha=90.00 beta=106.00 gamma=90.00
Space group C2/c (No. 15)
Symmetry-distinct sites (fractional):
Dy 0.105 0.167 0.041
Dy 0.216 0.419 0.400
Mn 0.000 0.001 0.250
Hg 0.000 0.373 0.750

Computed properties:
E_tot: -4.762 eV/atom
Calculated density: 9.51 g/cm³
Magnetic moment: 0.32 μB/f.u.
Formation energy: -0.1158 eV/atom
Crystal system: monoclinic

---

No. 12
A plane-wave DFT calculation with GGA-PBE was carried out for a relaxed structure of Dy2MnHg.

Unit cell a=3.544 b=3.544 c=7.589 alpha=90.00 beta=90.00 gamma=90.00
Space group P4/mmm (No. 123)
Symmetry-distinct sites (fractional):
Dy 0.000 0.000 0.230
Mn 0.500 0.500 0.000
Hg 0.500 0.500 0.500

Computed properties:
E_tot: -4.822 eV/atom
Relative energy among the computed polymorphs: 0.00 eV/f.u.
Calculated density: 10.11 g/cm³
Magnetic moment: 2.86 μB/f.u.
Formation energy: -0.1531 eV/atom
Crystal system: tetragonal

---

No. 13
A plane-wave DFT calculation with GGA-PBE was carried out for a relaxed structure of Dy6Mn2Hg.

Unit cell a=9.510 b=9.676 c=9.868 alpha=90.00 beta=90.00 gamma=90.00
Space group Immm (No. 71)
Symmetry-distinct sites (fractional):
Dy 0.000 0.217 0.227
Dy 0.210 0.500 0.186
Dy 0.214 0.311 0.500
Mn 0.000 0.390 0.000
Mn 0.000 0.500 0.394
Hg 0.000 0.000 0.000
Hg 0.000 0.000 0.500

Computed properties:
E_tot: -5.206 eV/atom
Calculated density: 9.40 g/cm³
Magnetic moment: 1.80 μB/f.u.
Formation energy: -0.0669 eV/atom
Crystal system: orthorhombic

---

No. 14
A plane-wave DFT calculation with GGA-PBE was carried out for a relaxed structure of PmDyMnHg.

Unit cell a=7.374 b=7.374 c=7.374 alpha=90.00 beta=90.00 gamma=90.00
Space group F-43m (No. 216)
Symmetry-distinct sites (fractional):
Pm 0.000 0.000 0.000
Dy 0.000 0.000 0.500
Mn 0.250 0.250 0.250
Hg 0.250 0.250 0.750

Computed properties:
E_tot: -4.775 eV/atom
Calculated density: 9.33 g/cm³
Magnetic moment: 3.11 μB/f.u.
Formation energy: -0.0686 eV/atom
Crystal system: cubic

---

No. 15
A plane-wave DFT calculation with GGA-PBE was carried out for a relaxed structure of PrDyMnHg.

Unit cell a=7.436 b=7.436 c=7.436 alpha=90.00 beta=90.00 gamma=90.00
Space group F-43m (No. 216)
Symmetry-distinct sites (fractional):
Pr 0.000 0.000 0.000
Dy 0.000 0.000 0.500
Mn 0.250 0.250 0.250
Hg 0.250 0.250 0.750

Computed properties:
E_tot: -4.768 eV/atom
Calculated density: 9.03 g/cm³
Magnetic moment: 3.19 μB/f.u.
Formation energy: -0.0543 eV/atom
Crystal system: cubic

---

No. 16
A plane-wave DFT calculation with GGA-PBE was carried out for a relaxed structure of TbDyMnHg.

Unit cell a=7.287 b=7.287 c=7.287 alpha=90.00 beta=90.00 gamma=90.00
Space group F-43m (No. 216)
Symmetry-distinct sites (fractional):
Tb 0.000 0.000 0.000
Dy 0.000 0.000 0.500
Mn 0.250 0.250 0.250
Hg 0.250 0.250 0.750

Computed properties:
E_tot: -4.758 eV/atom
Calculated density: 9.90 g/cm³
Magnetic moment: 2.97 μB/f.u.
Formation energy: -0.0821 eV/atom
Crystal system: cubic

---

No. 17
A plane-wave DFT calculation with GGA-PBE was carried out for a relaxed structure of Dy5Hg2N.

Unit cell a=3.661 b=20.099 c=12.904 alpha=90.00 beta=90.00 gamma=90.00
Space group Cmcm (No. 63)
Symmetry-distinct sites (fractional):
Dy 0.000 0.075 0.106
Dy 0.000 0.304 0.750
Dy 0.000 0.314 0.056
Hg 0.000 0.077 0.640
N 0.000 0.131 0.250

Computed properties:
E_tot: -4.354 eV/atom
Formation energy (no corrections): -362 meV/atom
Calculated density: 8.59 g/cm³
Magnetic moment: 0.03 μB/f.u.
Crystal system: orthorhombic

---

No. 18
A plane-wave DFT calculation with GGA-PBE was carried out for a relaxed structure of Dy3HgN.

Unit cell a=4.801 b=4.801 c=4.801 alpha=90.00 beta=90.00 gamma=90.00
Space group Pm-3m (No. 221)
Symmetry-distinct sites (fractional):
Dy 0.000 0.000 0.500
Hg 0.500 0.500 0.500
N 0.000 0.000 0.000

Computed properties:
E_tot: -5.411 eV/atom
Formation energy (no corrections): -924 meV/atom
Calculated density: 10.54 g/cm³
Magnetic moment: 0.00 μB/f.u.
Crystal system: cubic

---

No. 19
A plane-wave DFT calculation with GGA-PBE was carried out for a relaxed structure of Dy6Hg2N.

Unit cell a=6.884 b=6.859 c=11.833 alpha=90.00 beta=125.42 gamma=90.00
Space group P2_1/c (No. 14)
Symmetry-distinct sites (fractional):
Dy 0.164 0.000 0.243
Dy 0.284 0.246 0.041
Dy 0.285 0.744 0.541
Hg 0.257 0.501 0.249
N 0.000 0.000 0.000

Computed properties:
E_tot: -4.654 eV/atom
Formation energy (no corrections): -594 meV/atom
Calculated density: 10.14 g/cm³
Magnetic moment: 0.00 μB/f.u.
Crystal system: monoclinic

---

No. 20
A plane-wave DFT calculation with GGA-PBE was carried out for a relaxed structure of Dy6HgN.

Unit cell a=6.548 b=6.562 c=7.029 alpha=62.32 beta=62.40 gamma=60.07
Space group P-1 (No. 2)
Symmetry-distinct sites (fractional):
Dy 0.035 0.399 0.271
Dy 0.206 0.966 0.730
Dy 0.399 0.795 0.271
Hg 0.500 0.500 0.000
N 0.000 0.000 0.500

Computed properties:
E_tot: -4.901 eV/atom
Formation energy (no corrections): -371 meV/atom
Calculated density: 8.94 g/cm³
Magnetic moment: 0.00 μB/f.u.
Crystal system: triclinic

---

No. 21
A plane-wave DFT calculation with GGA-PBE was carried out for a relaxed structure of Dy2HgN.

Unit cell a=3.5292 b=3.5292 c=23.1264 alpha=90.00 beta=90.00 gamma=120.00
Space group R-3m (No. 166, hexagonal axes)
Symmetry-distinct sites (fractional):
Dy 0.0000 0.0000 0.2251
Hg 0.0000 0.0000 0.0000
N 0.0000 0.0000 0.5000

Computed properties:
E_tot: -5.462 eV/atom
Formation energy (no corrections): -1004 meV/atom
Calculated density: 10.78 g/cm³
Magnetic moment: 0.00 μB/f.u.
Crystal system: trigonal

---

No. 22
A plane-wave DFT calculation with GGA-PBE was carried out for a relaxed structure of Dy6Hg3N.

Unit cell a=6.512 b=7.944 c=11.524 alpha=90.00 beta=119.87 gamma=90.00
Space group P2_1/c (No. 14)
Symmetry-distinct sites (fractional):
Dy 0.073 0.050 0.224
Dy 0.184 0.721 0.065
Dy 0.371 0.145 0.052
Hg 0.315 0.114 0.738
Hg 0.500 0.000 0.500
N 0.000 0.000 0.000

Computed properties:
E_tot: -4.229 eV/atom
Formation energy (no corrections): -545 meV/atom
Calculated density: 10.22 g/cm³
Magnetic moment: 0.00 μB/f.u.
Crystal system: monoclinic